An optimized crystal structure of ZrCuSbW2. Source: Alexandria, functional PBEsol.

Formation energy (no corrections): 2.290 eV/atom

Unit cell a=4.8288 b=4.8288 c=5.1594 alpha=90.00 beta=90.00 gamma=90.00
Sites, in units of the cell vectors:
Zr 0.0000 0.0000 0.0000
Cu 0.5000 0.5000 0.0000
Sb 0.0000 0.0000 0.5000
W 0.0000 0.5000 0.5000
W 0.5000 0.0000 0.5000